A plane-wave DFT calculation with PBE was carried out for crystalline LiTbPmPr at its relaxed geometry. Values from VASP.

```
&SYSTEM
  ibrav = 0, nat = 16, ntyp = 4
/
ATOMIC_SPECIES
Li 6.94 Li.upf
Tb 158.93 Tb.upf
Pm 145.00 Pm.upf
Pr 140.91 Pr.upf
CELL_PARAMETERS angstrom
7.9261 0.0000 0.0000
0.0000 7.9261 0.0000
0.0000 0.0000 7.9261
ATOMIC_POSITIONS crystal
Li 0.0000 0.0000 0.0000
Li 0.0000 0.5000 0.5000
Li 0.5000 0.0000 0.5000
Li 0.5000 0.5000 0.0000
Tb 0.0000 0.0000 0.5000
Tb 0.0000 0.5000 0.0000
Tb 0.5000 0.0000 0.0000
Tb 0.5000 0.5000 0.5000
Pm 0.2500 0.2500 0.2500
Pm 0.2500 0.7500 0.7500
Pm 0.7500 0.2500 0.7500
Pm 0.7500 0.7500 0.2500
Pr 0.2500 0.2500 0.7500
Pr 0.2500 0.7500 0.2500
Pr 0.7500 0.2500 0.2500
Pr 0.7500 0.7500 0.7500
```

Properties
Final energy: -15.4 eV/f.u.
Crystal system: cubic
DFT formation energy: 165 meV per atom
ρ: 6.03 Mg/m³